Entry 1:
# CdCoSiPd

Crystalline CdCoSiPd at its relaxed geometry (GGA-PBE, the Open Quantum Materials Database).

Cell and atoms, written as extended XYZ:
```
4
Lattice="-0.7631 -2.4482 3.4988 1.4566 1.2585 3.8874 -2.7943 1.3558 3.0284" Properties=species:S:1:pos:R:3 pbc="T T T"
Pd -0.5252 0.0415 2.6037
Co -1.5756 0.1246 7.8110
Si 0.0000 0.0000 0.0000
Cd -1.0504 0.0831 5.2073
```

## Properties
energy above the lowest structure with this stoichiometry = 0 meV per atom
theoretical density = 8.80 g/cm³



Entry 2:
# CdCoSnPd

Crystalline CdCoSnPd at its relaxed geometry (GGA-PBE, the Open Quantum Materials Database).

Cell and atoms, written as extended XYZ:
```
4
Lattice="0.0000 3.2186 3.2186 3.2186 0.0000 3.2186 3.2186 3.2186 0.0000" Properties=species:S:1:pos:R:3 pbc="T T T"
Pd 1.6093 1.6093 1.6093
Cd 3.2186 3.2186 3.2186
Sn 0.0000 0.0000 0.0000
Co 4.8279 4.8279 4.8279
```

## Properties
energy above the lowest structure with this stoichiometry = 0 meV per atom
theoretical density = 9.87 g/cm³



Entry 3:
# TlCdCoPd

Crystalline TlCdCoPd at its relaxed geometry (GGA-PBE, the Open Quantum Materials Database).

Cell and atoms, written as extended XYZ:
```
4
Lattice="1.5011 -0.0538 4.3483 -2.8925 -1.0522 3.4192 0.4362 -3.9981 2.2336" Properties=species:S:1:pos:R:3 pbc="T T T"
Co -0.7164 -3.8280 7.5008
Cd -0.4776 -2.5520 5.0005
Tl 0.0000 0.0000 0.0000
Pd -0.2388 -1.2760 2.5003
```

## Properties
energy above the lowest structure with this stoichiometry = 0 meV per atom
theoretical density = 11.63 g/cm³



Entry 4:
# ZnCdCoPd

Crystalline ZnCdCoPd at its relaxed geometry (GGA-PBE, the Open Quantum Materials Database).

Cell and atoms, written as extended XYZ:
```
4
Lattice="0.0000 3.0925 3.0925 3.0925 0.0000 3.0925 3.0925 3.0925 0.0000" Properties=species:S:1:pos:R:3 pbc="T T T"
Co 4.6387 4.6387 4.6387
Cd 3.0925 3.0925 3.0925
Zn 0.0000 0.0000 0.0000
Pd 1.5462 1.5462 1.5462
```

## Properties
energy above the lowest structure with this stoichiometry = 0 meV per atom
formation energy from the elements = -0.0414 eV/atom
theoretical density = 9.63 g/cm³



Entry 5:
# Pm2CdCo2

Crystalline Pm2CdCo2 at its relaxed geometry (GGA-PBE, the Open Quantum Materials Database).

Cell and atoms, written as extended XYZ:
```
5
Lattice="-6.4375 3.2245 -0.5576 6.1823 -2.0224 -3.1367 -1.6686 -3.5088 -1.0265" Properties=species:S:1:pos:R:3 pbc="T T T"
Co 3.5333 -0.9210 -2.5953
Co -3.7885 2.1231 -1.0990
Pm 0.7525 -1.8661 -2.7108
Pm -2.6764 -0.4405 -2.0100
Cd 0.0000 0.0000 0.0000
```

## Properties
formation energy from the elements = -0.2081 eV/atom
theoretical density = 7.94 g/cm³



Entry 6:
# PrCd4Co

Crystalline PrCd4Co at its relaxed geometry (GGA-PBE, the Open Quantum Materials Database).

Cell and atoms, written as extended XYZ:
```
6
Lattice="-3.3519 5.7555 -0.6986 -2.8590 4.4116 4.1490 1.0695 6.3979 1.6651" Properties=species:S:1:pos:R:3 pbc="T T T"
Cd -3.5778 11.5270 3.5596
Cd -4.4466 14.3263 4.4240
Cd -1.5637 5.0381 1.5558
Cd -0.6949 2.2388 0.6914
Pr -2.5707 8.2825 2.5577
Co 0.0000 0.0000 0.0000
```

## Properties
formation energy from the elements = 0.1650 eV/atom
theoretical density = 8.09 g/cm³



Entry 7:
# Pr12CdCo6

Crystalline Pr12CdCo6 at its relaxed geometry (GGA-PBE, the Open Quantum Materials Database).

Cell and atoms, written as extended XYZ:
```
19
Lattice="-0.7781 -6.6685 5.5935 -7.8458 3.6056 -1.3434 3.2011 -2.9214 -7.5882" Properties=species:S:1:pos:R:3 pbc="T T T"
Pr -0.9248 -3.5355 0.2101
Pr -4.4980 -2.4488 -3.5482
Pr -2.7506 -1.3810 -6.5766
Pr -3.5450 -0.8076 -0.4237
Pr -5.4339 1.2553 -2.7778
Pr -2.6722 -4.6033 3.2385
Pr -0.9566 -1.6453 -3.1268
Pr -6.8760 -1.9906 1.2179
Pr -4.4662 -4.3390 -0.2113
Pr 1.4532 -3.9937 -4.5560
Pr -1.8778 -5.1767 -2.9145
Pr 0.0110 -7.2396 -0.5604
Co -2.1472 -5.9878 0.6579
Co -3.2756 0.0036 -3.9960
Co -1.3787 -3.3928 -5.2427
Co 0.6981 -4.7193 -1.9846
Co -6.1209 -1.2650 -1.3535
Co -4.0441 -2.5915 1.9045
Cd 0.0000 0.0000 0.0000
```

## Properties
formation energy from the elements = -0.0977 eV/atom
theoretical density = 6.97 g/cm³



Entry 8:
# ZnCdCoPt

Crystalline ZnCdCoPt at its relaxed geometry (GGA-PBE, the Open Quantum Materials Database).

Cell and atoms, written as extended XYZ:
```
4
Lattice="0.0000 3.1007 3.1007 3.1007 0.0000 3.1007 3.1007 3.1007 0.0000" Properties=species:S:1:pos:R:3 pbc="T T T"
Zn 0.0000 0.0000 0.0000
Cd 3.1008 3.1008 3.1008
Co 4.6511 4.6511 4.6511
Pt 1.5504 1.5504 1.5504
```

## Properties
energy above the lowest structure with this stoichiometry = 0 meV per atom
formation energy from the elements = -0.0334 eV/atom
theoretical density = 12.03 g/cm³



Entry 9:
# RbCdCo

Crystalline RbCdCo at its relaxed geometry (GGA-PBE, the Open Quantum Materials Database).

Cell and atoms, written as extended XYZ:
```
3
Lattice="0.0000 3.6195 3.6195 3.6195 0.0000 3.6195 3.6195 3.6195 0.0000" Properties=species:S:1:pos:R:3 pbc="T T T"
Rb 5.4292 5.4292 5.4292
Co 0.0000 0.0000 0.0000
Cd 1.8097 1.8097 1.8097
```

## Properties
energy above the lowest structure with this stoichiometry = 0 meV per atom
theoretical density = 4.50 g/cm³



Entry 10:
# CdCoReSb

Crystalline CdCoReSb at its relaxed geometry (GGA-PBE, the Open Quantum Materials Database).

Cell and atoms, written as extended XYZ:
```
4
Lattice="1.4401 -2.4808 3.4863 -2.6028 -3.2989 1.6509 1.1589 -4.3180 -0.6281" Properties=species:S:1:pos:R:3 pbc="T T T"
Co -0.0028 -7.5732 3.3819
Sb 0.0000 0.0000 0.0000
Re -0.0009 -2.5244 1.1273
Cd -0.0019 -5.0488 2.2546
```

## Properties
energy above the lowest structure with this stoichiometry = 0 meV per atom
theoretical density = 12.23 g/cm³



Entry 11:
# TlCdCoRe

Crystalline TlCdCoRe at its relaxed geometry (GGA-PBE, the Open Quantum Materials Database).

Cell and atoms, written as extended XYZ:
```
4
Lattice="0.0000 3.2445 3.2445 3.2445 0.0000 3.2445 3.2445 3.2445 0.0000" Properties=species:S:1:pos:R:3 pbc="T T T"
Tl 0.0000 0.0000 0.0000
Re 1.6223 1.6223 1.6223
Co 4.8668 4.8668 4.8668
Cd 3.2445 3.2445 3.2445
```

## Properties
energy above the lowest structure with this stoichiometry = 0 meV per atom
theoretical density = 13.66 g/cm³



Entry 12:
# ZnCdCoRe

Crystalline ZnCdCoRe at its relaxed geometry (GGA-PBE, the Open Quantum Materials Database).

Cell and atoms, written as extended XYZ:
```
4
Lattice="1.4085 -4.1171 0.4656 -1.1305 -2.3122 3.5393 -2.8147 -3.3305 -0.3694" Properties=species:S:1:pos:R:3 pbc="T T T"
Co -1.9025 -7.3198 2.7266
Zn 0.0000 0.0000 0.0000
Re -1.2684 -4.8799 1.8177
Cd -0.6342 -2.4399 0.9089
```

## Properties
energy above the lowest structure with this stoichiometry = 0 meV per atom
formation energy from the elements = 0.6198 eV/atom
theoretical density = 11.85 g/cm³